Record 1
DFT (GGA-PBEsol) results for AsRuCl2 after structural relaxation.

Results
Space-group type   Pmm2 (25)
Energy relative to the lowest polymorph listed for this composition   231 meV per atom
Raw formation energy   -0.079 eV per atom

abc: 3.057 3.821 7.460
angles: 90.00 90.00 90.00
Fractional positions:
Cl (0.000, 0.000, 0.949)
Ru (0.000, 0.000, 0.650)
As (0.500, 0.500, 0.598)
Cl (0.500, 0.500, 0.302)


Record 2
DFT (GGA-PBEsol) results for Li4ScTc after structural relaxation.

Results
Space-group type   F-43m (216)
Energy of formation   2.15 eV per formula unit

abc: 4.993 4.993 4.993
angles: 60.00 60.00 60.00
Fractional positions:
Li (0.372, 0.372, 0.372)
Li (0.884, 0.372, 0.372)
Sc (0.750, 0.750, 0.750)
Tc (0.000, 0.000, 0.000)
Li (0.372, 0.372, 0.884)
Li (0.372, 0.884, 0.372)


Record 3
DFT (GGA-PBEsol) results for LaFeSb2Te after structural relaxation.

Results
Space-group type   P4/mmm (123)
Raw formation energy   -0.278 eV per atom

abc: 4.843 4.843 5.500
angles: 90.00 90.00 90.00
Fractional positions:
La (0.500, 0.500, 0.500)
Te (0.000, 0.000, 0.500)
Sb (0.000, 0.500, 0.000)
Sb (0.500, 0.000, 0.000)
Fe (0.000, 0.000, 0.000)


Record 4
DFT (GGA-PBEsol) results for LaScPb2 after structural relaxation.

Results
Space-group type   Pmmm (47)
Energy of formation   -2.03 eV per formula unit

abc: 3.442 4.324 7.126
angles: 90.00 89.99 90.00
Fractional positions:
Pb (0.000, 0.000, 0.222)
Pb (0.000, 0.000, 0.778)
La (0.500, 0.500, 0.500)
Sc (0.500, 0.500, 0.000)


no.,density of states at the Fermi level (states/eV/cell),size of the total moment (μB/f.u.)
1,2.20,0.0
2,1.03,0.0
3,6.01,1.7
4,3.71,0.0